An optimized crystal structure of Ti3In2H2. Source: Alexandria, functional PBE.

Properties
The calculation puts the volume at 14.3 Å³/atom. Its energy above the most stable polymorph in this dataset is 0.000 eV/atom. For the final energy, the calculation gives -5.3673 eV/atom.

Cell lengths 3.0667, 5.5052, 7.5478 Å; angles 101.40, 94.76, 124.18 degrees
Last column: nearest neighbours and their distance in Å.
Fractional coordinates of all 7 atoms:
Ti: 0.0000 0.0000 0.0000  4 H 1.91-1.92
Ti: 0.0281 0.6056 0.2054  2 H 1.89-1.90
Ti: 0.9719 0.3944 0.7946  2 H 1.89-1.90
In: 0.8709 0.8079 0.6180  5 Ti 2.78-3.07, 4 In 2.85-3.07
In: 0.1291 0.1921 0.3820  5 Ti 2.78-3.07, 4 In 2.85-3.07
H: 0.7542 0.2524 0.0022  4 Ti 1.89-1.92
H: 0.2458 0.7476 0.9978  4 Ti 1.89-1.92



An optimized crystal structure of MgFePt3. Source: Alexandria, functional PBE.

Properties
The value obtained for the formation energy is 439 meV per atom. The calculation puts the volume at 19.7 Å³/atom. Its energy above the most stable polymorph in this dataset is 0.000 eV/atom. For the final energy, the calculation gives -5.1965 eV/atom.

Cell lengths 4.6204, 4.6204, 4.6204 Å; angles 90.00, 90.00, 90.00 degrees
Last column: nearest neighbours and their distance in Å.
Fractional coordinates of all 5 atoms:
Mg: 0.5000 0.5000 0.5000  12 Pt 3.27
Fe: 0.0000 0.0000 0.0000  6 Pt 2.31
Pt: 0.0000 0.5000 0.0000  2 Fe 2.31
Pt: 0.0000 0.0000 0.5000  2 Fe 2.31
Pt: 0.5000 0.0000 0.0000  2 Fe 2.31



An optimized crystal structure of Hf2ScI. Source: Alexandria, functional PBE.

Properties
Its formation energy without anion corrections is 0.546 eV/atom. The calculation puts the volume at 23.4 Å³/atom. Its energy above the most stable polymorph in this dataset is 0.166 eV/atom. For the final energy, the calculation gives -6.4015 eV/atom.

Cell lengths 5.0964, 5.0964, 5.0964 Å; angles 60.00, 60.00, 60.00 degrees
Last column: nearest neighbours and their distance in Å.
Fractional coordinates of all 4 atoms:
I: 0.5000 0.5000 0.5000  8 Hf 3.12
Sc: 0.0000 0.0000 0.0000  8 Hf 3.12
Hf: 0.2500 0.2500 0.2500  4 I 3.12, 4 Sc 3.12
Hf: 0.7500 0.7500 0.7500  4 I 3.12, 4 Sc 3.12



An optimized crystal structure of CeZr2Cu. Source: Alexandria, functional PBE.

Properties
The value obtained for the formation energy is -15 meV per atom. The calculation puts the volume at 21.5 Å³/atom. Its energy above the most stable polymorph in this dataset is 0.000 eV/atom. For the final energy, the calculation gives -6.7965 eV/atom.

Cell lengths 3.2232, 3.2232, 8.2593 Å; angles 90.00, 90.00, 90.00 degrees
Last column: nearest neighbours and their distance in Å.
Fractional coordinates of all 4 atoms:
Cu: 0.5000 0.5000 0.0000  8 Zr 2.84
Zr: 0.0000 0.0000 0.7945  4 Cu 2.84
Zr: 0.0000 0.0000 0.2055  4 Cu 2.84
Ce: 0.5000 0.5000 0.5000  4 Ce 3.22, 8 Zr 3.33